{"formula": "MgFe3Bi", "functional": "PBE-GGA", "state": "optimized geometry", "cell": [[4.5599, 0.0000, 0.0000], [0.0000, 4.5599, 0.0000], [0.0000, 0.0000, 4.5599]], "species": ["Fe", "Fe", "Fe", "Mg", "Bi"], "frac_coords": [[0.5000, 0.0000, 0.0000], [0.0000, 0.0000, 0.5000], [0.0000, 0.5000, 0.0000], [0.0000, 0.0000, 0.0000], [0.5000, 0.5000, 0.5000]], "delta_e_f_ev_per_atom": 1.28, "spacegroup": "No. 221", "magnetic_moment_mub_per_cell": 7.92, "crystal_system": "cubic", "total_energy_ev_per_atom": -4.8950}